Record 1
First-principles (GGA-PBE) data for a geometry-optimized CuAuN3 structure, as listed in Alexandria. Values from VASP.

Output
Formation energy from raw total energies in eV/atom: 2.285
Crystal system: cubic
DOS at the Fermi energy in states/eV per atom: 1.16
Total moment in μB/cell: 0.0

Quantum ESPRESSO input file:
```
&SYSTEM
  ibrav = 0, nat = 5, ntyp = 3
/
ATOMIC_SPECIES
N 14.01 N.upf
Au 196.97 Au.upf
Cu 63.55 Cu.upf
ATOMIC_POSITIONS crystal
N 0.000 0.000 0.500
Au 0.500 0.500 0.500
N 0.500 0.000 0.000
Cu 0.000 0.000 0.000
N 0.000 0.500 0.000
CELL_PARAMETERS angstrom
3.789 0.000 0.000
0.000 3.789 0.000
0.000 0.000 3.789
```

Record 2
First-principles (GGA-PBE) data for a geometry-optimized K2PaO3 structure, as listed in Alexandria. Values from VASP.

Output
Formation energy from raw total energies in eV/atom: -2.421
Crystal system: orthorhombic
DOS at the Fermi energy in states/eV per atom: 0.32
Total moment in μB/cell: 0.5

Quantum ESPRESSO input file:
```
&SYSTEM
  ibrav = 0, nat = 12, ntyp = 3
/
ATOMIC_SPECIES
Pa 231.04 Pa.upf
O 16.00 O.upf
K 39.10 K.upf
ATOMIC_POSITIONS crystal
Pa 0.750 0.094 0.094
O 0.500 0.873 0.127
Pa 0.250 0.906 0.906
O 0.750 0.365 0.365
K 0.750 0.462 0.787
K 0.250 0.538 0.213
K 0.250 0.213 0.538
K 0.750 0.787 0.462
O 0.500 0.127 0.873
O 0.000 0.873 0.127
O 0.250 0.635 0.635
O 0.000 0.127 0.873
CELL_PARAMETERS angstrom
-1.531 -5.799 -2.319
6.421 -1.314 -0.951
-1.941 -1.903 6.039
```

Record 3
First-principles (GGA-PBE) data for a geometry-optimized CdCo2Ru structure, as listed in Alexandria. Values from VASP.

Output
Crystal system: tetragonal
DOS at the Fermi energy in states/eV per atom: 1.44
DFT formation energy in meV per atom: 404
Total moment in μB/cell: 4.4

Quantum ESPRESSO input file:
```
&SYSTEM
  ibrav = 0, nat = 4, ntyp = 3
/
ATOMIC_SPECIES
Co 58.93 Co.upf
Cd 112.41 Cd.upf
Ru 101.07 Ru.upf
ATOMIC_POSITIONS crystal
Co 0.000 0.000 0.000
Co 0.000 0.500 0.500
Cd 0.500 0.000 0.500
Ru 0.500 0.500 0.000
CELL_PARAMETERS angstrom
3.093 0.000 0.000
0.000 4.253 0.000
0.000 0.000 4.253
```

Record 4
First-principles (GGA-PBE) data for a geometry-optimized NaYCuPd2 structure, as listed in Alexandria. Values from VASP.

Output
Crystal system: tetragonal
DOS at the Fermi energy in states/eV per atom: 0.63
DFT formation energy in meV per atom: 896
Total moment in μB/cell: 0.0

Quantum ESPRESSO input file:
```
&SYSTEM
  ibrav = 0, nat = 5, ntyp = 4
/
ATOMIC_SPECIES
Y 88.91 Y.upf
Na 22.99 Na.upf
Pd 106.42 Pd.upf
Cu 63.55 Cu.upf
ATOMIC_POSITIONS crystal
Y 0.000 0.000 0.000
Na 0.000 0.500 0.000
Pd 0.500 0.000 0.000
Cu 0.500 0.500 0.500
Pd 0.000 0.000 0.500
CELL_PARAMETERS angstrom
-2.435 -2.882 3.328
4.871 -3.232 0.765
1.450 3.066 3.716
```

Record 5
First-principles (GGA-PBE) data for a geometry-optimized CePmTlPb structure, as listed in Alexandria. Values from VASP.

Output
Crystal system: cubic
DOS at the Fermi energy in states/eV per atom: 2.15
DFT formation energy in meV per atom: -353
Total moment in μB/cell: 1.3

Quantum ESPRESSO input file:
```
&SYSTEM
  ibrav = 0, nat = 4, ntyp = 4
/
ATOMIC_SPECIES
Tl 204.38 Tl.upf
Pm 145.00 Pm.upf
Pb 207.20 Pb.upf
Ce 140.12 Ce.upf
ATOMIC_POSITIONS crystal
Tl 0.000 0.000 0.000
Pm 0.250 0.250 0.250
Pb 0.500 0.500 0.500
Ce 0.750 0.750 0.750
CELL_PARAMETERS angstrom
-2.383 1.755 4.670
0.591 -2.906 4.666
3.113 1.983 4.116
```

Record 6
First-principles (GGA-PBE) data for a geometry-optimized GeAuSeN2 structure, as listed in Alexandria. Values from VASP.

Output
E above lowest polymorph in meV/atom: 0
Formation energy from raw total energies in eV/atom: 1.164
Crystal system: tetragonal
DOS at the Fermi energy in states/eV per atom: 0.80
Total moment in μB/cell: 0.0

Quantum ESPRESSO input file:
```
&SYSTEM
  ibrav = 0, nat = 5, ntyp = 4
/
ATOMIC_SPECIES
Au 196.97 Au.upf
Se 78.96 Se.upf
N 14.01 N.upf
Ge 72.64 Ge.upf
ATOMIC_POSITIONS crystal
Au 0.500 0.500 0.500
Se 0.000 0.000 0.500
N 0.000 0.500 0.000
Ge 0.000 0.000 0.000
N 0.500 0.000 0.000
CELL_PARAMETERS angstrom
3.677 0.000 0.000
0.000 3.677 0.000
0.000 0.000 6.754
```

Record 7
First-principles (GGA-PBE) data for a geometry-optimized CeHoSe2S structure, as listed in Alexandria. Values from VASP.

Output
Formation energy from raw total energies in eV/atom: -1.758
Crystal system: tetragonal
DOS at the Fermi energy in states/eV per atom: 1.34
Total moment in μB/cell: 1.3

Quantum ESPRESSO input file:
```
&SYSTEM
  ibrav = 0, nat = 10, ntyp = 4
/
ATOMIC_SPECIES
S 32.06 S.upf
Se 78.96 Se.upf
Ho 164.93 Ho.upf
Ce 140.12 Ce.upf
ATOMIC_POSITIONS crystal
S 0.000 0.000 0.500
Se 0.500 0.000 0.294
Ho 0.500 0.000 0.104
Se 0.000 0.500 0.099
Ce 0.000 0.500 0.377
Ho 0.000 0.500 0.896
Se 0.000 0.500 0.706
Ce 0.500 0.000 0.623
S 0.500 0.500 0.500
Se 0.500 0.000 0.901
CELL_PARAMETERS angstrom
4.185 0.000 0.000
0.000 4.185 0.000
0.000 0.000 14.430
```

Record 8
First-principles (GGA-PBE) data for a geometry-optimized PmEuGd2 structure, as listed in Alexandria. Values from VASP.

Output
E above lowest polymorph in meV/atom: 0
Crystal system: tetragonal
DOS at the Fermi energy in states/eV per atom: 2.02
DFT formation energy in meV per atom: 116
Total moment in μB/cell: 22.8

Quantum ESPRESSO input file:
```
&SYSTEM
  ibrav = 0, nat = 4, ntyp = 3
/
ATOMIC_SPECIES
Gd 157.25 Gd.upf
Eu 151.96 Eu.upf
Pm 145.00 Pm.upf
ATOMIC_POSITIONS crystal
Gd 0.000 0.000 0.500
Gd 0.000 0.500 0.000
Eu 0.500 0.500 0.500
Pm 0.500 0.000 0.000
CELL_PARAMETERS angstrom
-1.880 0.304 -3.317
-4.396 -3.481 2.172
-2.847 4.880 2.060
```

Record 9
First-principles (GGA-PBE) data for a geometry-optimized SmGaOs2C structure, as listed in Alexandria. Values from VASP.

Output
Crystal system: orthorhombic
DOS at the Fermi energy in states/eV per atom: 0.82
DFT formation energy in meV per atom: -258
Total moment in μB/cell: 0.0

Quantum ESPRESSO input file:
```
&SYSTEM
  ibrav = 0, nat = 10, ntyp = 4
/
ATOMIC_SPECIES
Os 190.23 Os.upf
Ga 69.72 Ga.upf
C 12.01 C.upf
Sm 150.36 Sm.upf
ATOMIC_POSITIONS crystal
Os 0.833 0.667 0.062
Os 0.833 0.667 0.438
Ga 0.731 0.462 0.750
Os 0.167 0.333 0.562
C 0.000 0.000 0.000
Os 0.167 0.333 0.938
C 0.000 0.000 0.500
Sm 0.548 0.097 0.250
Sm 0.452 0.903 0.750
Ga 0.269 0.538 0.250
CELL_PARAMETERS angstrom
4.063 0.000 0.000
-2.032 5.507 0.000
0.000 0.000 7.338
```

Record 10
First-principles (GGA-PBE) data for a geometry-optimized Dy2YHo structure, as listed in Alexandria. Values from VASP.

Output
E above lowest polymorph in meV/atom: 18
Crystal system: tetragonal
DOS at the Fermi energy in states/eV per atom: 1.49
DFT formation energy in meV per atom: 23
Total moment in μB/cell: 0.0

Quantum ESPRESSO input file:
```
&SYSTEM
  ibrav = 0, nat = 4, ntyp = 3
/
ATOMIC_SPECIES
Ho 164.93 Ho.upf
Dy 162.50 Dy.upf
Y 88.91 Y.upf
ATOMIC_POSITIONS crystal
Ho 0.500 0.500 0.500
Dy 0.000 0.000 0.500
Y 0.500 0.000 0.000
Dy 0.000 0.500 0.000
CELL_PARAMETERS angstrom
-2.774 0.592 4.136
-4.159 -0.866 -2.666
0.399 -4.905 0.970
```

Record 11
First-principles (GGA-PBE) data for a geometry-optimized K11AgAu5 structure, as listed in Alexandria. Values from VASP.

Output
Crystal system: monoclinic
DOS at the Fermi energy in states/eV per atom: 0.37
DFT formation energy in meV per atom: -151
Total moment in μB/cell: 0.0

Quantum ESPRESSO input file:
```
&SYSTEM
  ibrav = 0, nat = 17, ntyp = 3
/
ATOMIC_SPECIES
K 39.10 K.upf
Au 196.97 Au.upf
Ag 107.87 Ag.upf
ATOMIC_POSITIONS crystal
K 0.415 0.662 0.662
K 0.585 0.338 0.338
K 0.740 0.719 0.219
Au 0.629 0.005 0.406
K 0.500 0.000 0.000
K 0.059 0.382 0.138
K 0.059 0.138 0.382
K 0.941 0.862 0.618
K 0.740 0.219 0.719
Ag 0.000 0.000 0.000
Au 0.371 0.995 0.594
Au 0.371 0.594 0.995
Au 0.000 0.500 0.500
K 0.260 0.781 0.281
Au 0.629 0.406 0.005
K 0.941 0.618 0.862
K 0.260 0.281 0.781
CELL_PARAMETERS angstrom
7.385 1.150 -1.591
-3.059 9.007 -1.457
0.644 0.507 9.589
```

Record 12
First-principles (GGA-PBE) data for a geometry-optimized YTaTl2 structure, as listed in Alexandria. Values from VASP.

Output
Crystal system: trigonal
DOS at the Fermi energy in states/eV per atom: 1.23
DFT formation energy in meV per atom: 284
Total moment in μB/cell: 0.0

Quantum ESPRESSO input file:
```
&SYSTEM
  ibrav = 0, nat = 4, ntyp = 3
/
ATOMIC_SPECIES
Tl 204.38 Tl.upf
Y 88.91 Y.upf
Ta 180.95 Ta.upf
ATOMIC_POSITIONS crystal
Tl 0.005 0.005 0.005
Tl 0.495 0.495 0.495
Y 0.250 0.250 0.250
Ta 0.750 0.750 0.750
CELL_PARAMETERS angstrom
10.539 0.023 0.014
10.026 3.249 0.014
10.026 1.595 2.830
```